Entry 1:
Material: HfCdAs3
Method: DFT, PBE
State: optimized geometry

Unit cell a=5.006 b=5.006 c=5.006 alpha=90.00 beta=90.00 gamma=90.00
Space group Pm-3m (No. 221)
Symmetry-distinct sites (fractional):
Hf1 0.000 0.000 0.000 (multiplicity 1)
Cd1 0.500 0.500 0.500 (multiplicity 1)
As1 0.000 0.500 0.500 (multiplicity 3)

- Energy above the most stable polymorph in this dataset: 790 meV/atom
- ρ: 6.83 g cm⁻³
- E_form: 0.97 eV/atom

***

Entry 2:
Material: TlTeCI2
Method: DFT, PBE
State: optimized geometry

Unit cell a=5.471 b=5.471 c=4.779 alpha=90.00 beta=90.00 gamma=90.00
Space group P4/mmm (No. 123)
Symmetry-distinct sites (fractional):
Tl1 0.000 0.000 0.000 (multiplicity 1)
Te1 0.500 0.500 0.000 (multiplicity 1)
C1 0.500 0.500 0.500 (multiplicity 1)
I1 0.000 0.500 0.500 (multiplicity 2)

- Energy above the most stable polymorph in this dataset: 0 meV/atom
- ρ: 6.94 g cm⁻³
- Uncorrected formation energy: 0.784 eV/atom

***

Entry 3:
Material: Li4MgPb
Method: DFT, PBE
State: optimized geometry

Unit cell a=9.872 b=6.246 c=10.020 alpha=90.00 beta=90.00 gamma=90.00
Space group Cmcm (No. 63)
Symmetry-distinct sites (fractional):
Li1 0.000 0.228 0.000 (multiplicity 8)
Li2 0.250 0.249 0.250 (multiplicity 8)
Mg1 0.000 0.499 0.250 (multiplicity 4)
Pb1 0.000 0.000 0.250 (multiplicity 4)

- Energy above the most stable polymorph in this dataset: 183 meV/atom
- ρ: 2.79 g cm⁻³
- E_form: -0.03 eV/atom

***

Entry 4:
Material: DySi7Ru3
Method: DFT, PBE
State: optimized geometry

Unit cell a=7.6277 b=7.6277 c=19.9565 alpha=90.00 beta=90.00 gamma=120.00
Space group R-3c (No. 167, hexagonal axes)
Symmetry-distinct sites (fractional):
Dy1 0.0000 0.0000 0.0000 (multiplicity 6)
Si1 0.0000 0.0000 0.2500 (multiplicity 6)
Si2 0.0083 0.2009 0.1382 (multiplicity 36)
Ru1 0.0000 0.3280 0.2500 (multiplicity 18)

- ρ: 6.56 g cm⁻³
- Uncorrected formation energy: -0.546 eV/atom

***

Entry 5:
Material: Zr3NbO
Method: DFT, PBE
State: optimized geometry

Unit cell a=4.507 b=4.507 c=4.507 alpha=90.00 beta=90.00 gamma=90.00
Space group Pm-3m (No. 221)
Symmetry-distinct sites (fractional):
Zr1 0.000 0.000 0.500 (multiplicity 3)
Nb1 0.500 0.500 0.500 (multiplicity 1)
O1 0.000 0.000 0.000 (multiplicity 1)

- Energy above the most stable polymorph in this dataset: 0 meV/atom
- ρ: 6.94 g cm⁻³
- Uncorrected formation energy: -1.008 eV/atom

***

Entry 6:
Material: TaNb2ZnH
Method: DFT, PBE
State: optimized geometry

Unit cell a=4.075 b=4.075 c=4.306 alpha=90.00 beta=90.00 gamma=90.00
Space group P4/mmm (No. 123)
Symmetry-distinct sites (fractional):
Ta1 0.000 0.000 0.000 (multiplicity 1)
Nb1 0.000 0.500 0.500 (multiplicity 2)
Zn1 0.500 0.500 0.000 (multiplicity 1)
H1 0.000 0.000 0.500 (multiplicity 1)

- Energy above the most stable polymorph in this dataset: 0 meV/atom
- ρ: 10.06 g cm⁻³

***

Entry 7:
Material: NdDy2Ho9
Method: DFT, PBE
State: optimized geometry

Unit cell a=11.1880 b=11.1880 c=3.5019 alpha=90.00 beta=90.00 gamma=120.00
Space group P6/mmm (No. 191)
Symmetry-distinct sites (fractional):
Nd1 0.0000 0.0000 0.0000 (multiplicity 1)
Dy1 0.3333 0.6667 0.0000 (multiplicity 2)
Ho1 0.0000 0.5000 0.0000 (multiplicity 3)
Ho2 0.1780 0.3559 0.5000 (multiplicity 6)

- Energy above the most stable polymorph in this dataset: 20 meV/atom
- ρ: 8.55 g cm⁻³
- E_form: 0.04 eV/atom

***

Entry 8:
Material: Ca2Al3GaPt4
Method: DFT, PBE
State: optimized geometry

Unit cell a=4.363 b=4.363 c=10.068 alpha=90.00 beta=90.00 gamma=90.00
Space group P-4m2 (No. 115)
Symmetry-distinct sites (fractional):
Ca1 0.000 0.500 0.245 (multiplicity 2)
Al1 0.000 0.500 0.877 (multiplicity 2)
Al2 0.500 0.500 0.500 (multiplicity 1)
Ga1 0.000 0.000 0.500 (multiplicity 1)
Pt1 0.000 0.000 0.000 (multiplicity 1)
Pt2 0.000 0.500 0.632 (multiplicity 2)
Pt3 0.500 0.500 0.000 (multiplicity 1)

- ρ: 8.76 g cm⁻³
- E_form: -1.00 eV/atom

***

The lowest ρ belongs to which entry?
Li4MgPb

***

Which of these has the highest ρ?
TaNb2ZnH

***

Which of these has the lowest ρ?
Li4MgPb

***

ρ of number 7 (NdDy2Ho9)?
8.55 g cm⁻³